A plane-wave DFT calculation with PBE with a Hubbard U was carried out for an optimized crystal structure of ErCuW2O8.

a b c (Å): 5.1461 6.0529 6.0818
angles (deg): 108.82 91.50 114.36
Space group P-1 (No. 2)
Inequivalent atoms, fractional coordinates:
Er (0.0000, 0.0000, 0.0000)
Cu (0.5000, 0.0000, 0.5000)
W (0.2497, 0.4896, 0.6680)
O (0.0185, 0.2535, 0.7886)
O (0.0279, 0.6940, 0.6723)
O (0.4642, 0.2987, 0.5290)
O (0.4818, 0.2564, 0.0738)

Calculated values
Magnetic moment, μB/cell: 0.0
Crystal system: triclinic
VASP energy, Ry per atom: -0.54154